Entry i
LaHgPS2 | PBE | optimized geometry

Properties
Calculated volume: 24.57 Å³/atom
Size of the total moment: 0.00 Bohr magnetons per cell

```
data_LaHgPS2
_chemical_formula_sum 'La1 Hg1 P1 S2'
_symmetry_space_group_name_H-M 'P 4/m m m'
_symmetry_Int_Tables_number 123
_symmetry_space_group_name_Hall '-P 4 2'
_cell_length_a 4.973
_cell_length_b 4.973
_cell_length_c 4.967
_cell_angle_alpha 90.00
_cell_angle_beta 90.00
_cell_angle_gamma 90.00
loop_
_atom_site_label
_atom_site_type_symbol
_atom_site_fract_x
_atom_site_fract_y
_atom_site_fract_z
La1 La 0.000 0.000 0.000
Hg1 Hg 0.500 0.500 0.500
P1 P 0.500 0.500 0.000
S1 S 0.000 0.500 0.500
```

---

Entry ii
LaHgPS2 | PBE | optimized geometry

Properties
Calculated volume: 37.05 Å³/atom
Size of the total moment: 3.44 Bohr magnetons per cell

```
data_LaHgPS2
_chemical_formula_sum 'La1 Hg1 P1 S2'
_symmetry_space_group_name_H-M 'P 4/m m m'
_symmetry_Int_Tables_number 123
_symmetry_space_group_name_Hall '-P 4 2'
_cell_length_a 5.540
_cell_length_b 5.540
_cell_length_c 6.036
_cell_angle_alpha 90.00
_cell_angle_beta 90.00
_cell_angle_gamma 90.00
loop_
_atom_site_label
_atom_site_type_symbol
_atom_site_fract_x
_atom_site_fract_y
_atom_site_fract_z
La1 La 0.000 0.000 0.000
Hg1 Hg 0.500 0.500 0.500
P1 P 0.000 0.000 0.500
S1 S 0.000 0.500 0.000
```

---

Of them, entry ii has the lowest stability.

---

Entry i
LaHgPb3 | PBE | optimized geometry

Properties
Calculated volume: 35.72 Å³/atom
Size of the total moment: 0.00 Bohr magnetons per cell

```
data_LaHgPb3
_chemical_formula_sum 'La4 Hg4 Pb12'
_symmetry_space_group_name_H-M 'C m c m'
_symmetry_Int_Tables_number 63
_symmetry_space_group_name_Hall '-C 2c 2'
_cell_length_a 9.551
_cell_length_b 11.816
_cell_length_c 6.331
_cell_angle_alpha 90.00
_cell_angle_beta 90.00
_cell_angle_gamma 90.00
loop_
_atom_site_label
_atom_site_type_symbol
_atom_site_fract_x
_atom_site_fract_y
_atom_site_fract_z
La1 La 0.000 0.246 0.250
Hg1 Hg 0.000 0.036 0.750
Pb1 Pb 0.000 0.500 0.000
Pb2 Pb 0.164 0.289 0.750
```

---

Entry ii
LaHgPb3 | PBE | optimized geometry

Properties
Calculated volume: 47.71 Å³/atom
Size of the total moment: 0.00 Bohr magnetons per cell

```
data_LaHgPb3
_chemical_formula_sum 'La1 Hg1 Pb3'
_symmetry_space_group_name_H-M 'P m -3 m'
_symmetry_Int_Tables_number 221
_symmetry_space_group_name_Hall '-P 4 2 3'
_cell_length_a 6.202
_cell_length_b 6.202
_cell_length_c 6.202
_cell_angle_alpha 90.00
_cell_angle_beta 90.00
_cell_angle_gamma 90.00
loop_
_atom_site_label
_atom_site_type_symbol
_atom_site_fract_x
_atom_site_fract_y
_atom_site_fract_z
La1 La 0.000 0.000 0.000
Hg1 Hg 0.500 0.500 0.500
Pb1 Pb 0.000 0.000 0.500
```

---

Entry iii
LaHgPb3 | PBE | optimized geometry

Properties
Calculated volume: 33.47 Å³/atom
Size of the total moment: 0.00 Bohr magnetons per cell

```
data_LaHgPb3
_chemical_formula_sum 'La4 Hg4 Pb12'
_symmetry_space_group_name_H-M 'I m m a'
_symmetry_Int_Tables_number 74
_symmetry_space_group_name_Hall '-I 2b 2'
_cell_length_a 6.956
_cell_length_b 9.694
_cell_length_c 9.926
_cell_angle_alpha 90.00
_cell_angle_beta 90.00
_cell_angle_gamma 90.00
loop_
_atom_site_label
_atom_site_type_symbol
_atom_site_fract_x
_atom_site_fract_y
_atom_site_fract_z
La1 La 0.000 0.250 0.024
Hg1 Hg 0.250 0.250 0.750
Pb1 Pb 0.000 0.250 0.464
Pb2 Pb 0.250 0.053 0.250
```

---

Of them, entry ii has the lowest stability.

---

Entry i
La2Hg2Pb | PBE | optimized geometry

Properties
Calculated volume: 34.11 Å³/atom
Size of the total moment: 1.51 Bohr magnetons per cell

```
data_La2Hg2Pb
_chemical_formula_sum 'La4 Hg4 Pb2'
_symmetry_space_group_name_H-M 'I 4/m m m'
_symmetry_Int_Tables_number 139
_symmetry_space_group_name_Hall '-I 4 2'
_cell_length_a 5.355
_cell_length_b 5.355
_cell_length_c 11.896
_cell_angle_alpha 90.00
_cell_angle_beta 90.00
_cell_angle_gamma 90.00
loop_
_atom_site_label
_atom_site_type_symbol
_atom_site_fract_x
_atom_site_fract_y
_atom_site_fract_z
La1 La 0.000 0.500 0.250
Hg1 Hg 0.000 0.000 0.112
Pb1 Pb 0.000 0.000 0.500
```

---

Entry ii
La2Hg2Pb | PBE | optimized geometry

Properties
Calculated volume: 31.45 Å³/atom
Size of the total moment: 0.00 Bohr magnetons per cell

```
data_La2Hg2Pb
_chemical_formula_sum 'La4 Hg4 Pb2'
_symmetry_space_group_name_H-M 'I 4/m m m'
_symmetry_Int_Tables_number 139
_symmetry_space_group_name_Hall '-I 4 2'
_cell_length_a 4.320
_cell_length_b 4.320
_cell_length_c 16.854
_cell_angle_alpha 90.00
_cell_angle_beta 90.00
_cell_angle_gamma 90.00
loop_
_atom_site_label
_atom_site_type_symbol
_atom_site_fract_x
_atom_site_fract_y
_atom_site_fract_z
La1 La 0.000 0.000 0.096
Hg1 Hg 0.000 0.500 0.250
Pb1 Pb 0.000 0.000 0.500
```

---

Of them, entry i has the lowest stability.

---

Entry i
La2Hg2Pb | PBE | optimized geometry

Properties
Calculated volume: 30.28 Å³/atom
Size of the total moment: 0.00 Bohr magnetons per cell

```
data_La2Hg2Pb
_chemical_formula_sum 'La8 Hg8 Pb4'
_symmetry_space_group_name_H-M 'C 1 2/m 1'
_symmetry_Int_Tables_number 12
_cell_length_a 11.883
_cell_length_b 4.847
_cell_length_c 11.607
_cell_angle_alpha 90.00
_cell_angle_beta 115.07
_cell_angle_gamma 90.00
loop_
_symmetry_equiv_pos_as_xyz
'x,y,z'
'-x,-y,-z'
'-x,y,-z'
'x,-y,z'
'x+1/2,y+1/2,z'
'-x+1/2,-y+1/2,-z'
'-x+1/2,y+1/2,-z'
'x+1/2,-y+1/2,z'
loop_
_atom_site_label
_atom_site_type_symbol
_atom_site_fract_x
_atom_site_fract_y
_atom_site_fract_z
La1 La 0.012 0.000 0.334
La2 La 0.178 0.000 0.095
Hg1 Hg 0.047 0.500 0.892
Hg2 Hg 0.139 0.500 0.548
Pb1 Pb 0.217 0.500 0.316
```

---

Entry ii
La2Hg2Pb | PBE | optimized geometry

Properties
Calculated volume: 32.41 Å³/atom
Size of the total moment: 0.00 Bohr magnetons per cell

```
data_La2Hg2Pb
_chemical_formula_sum 'La4 Hg4 Pb2'
_symmetry_space_group_name_H-M 'C 1 2/m 1'
_symmetry_Int_Tables_number 12
_cell_length_a 10.394
_cell_length_b 4.839
_cell_length_c 6.469
_cell_angle_alpha 90.00
_cell_angle_beta 95.10
_cell_angle_gamma 90.00
loop_
_symmetry_equiv_pos_as_xyz
'x,y,z'
'-x,-y,-z'
'-x,y,-z'
'x,-y,z'
'x+1/2,y+1/2,z'
'-x+1/2,-y+1/2,-z'
'-x+1/2,y+1/2,-z'
'x+1/2,-y+1/2,z'
loop_
_atom_site_label
_atom_site_type_symbol
_atom_site_fract_x
_atom_site_fract_y
_atom_site_fract_z
La1 La 0.201 0.000 0.218
Hg1 Hg 0.102 0.000 0.685
Pb1 Pb 0.000 0.500 0.000
```

---

Of them, entry ii has the lowest stability.